Model A:
VASP calculation (PBE) on a geometry-optimized BeNiPb3 structure.

POSCAR file:
```
BeNiPb3
1.0
5.003 0.000 0.000
0.000 5.003 0.000
0.000 0.000 5.003
Pb Ni Be
3 1 1
Cartesian
0.000 2.502 0.000
0.000 0.000 2.502
2.502 0.000 0.000
2.502 2.502 2.502
0.000 0.000 0.000
```

Computed properties:
total magnetic moment	0.00	μB per cell
symmetry	Pm-3m

***

Model B:
VASP calculation (PBE) on a geometry-optimized BeNiPb3 structure.

POSCAR file:
```
BeNiPb3
1.0
-2.415 -1.803 4.137
1.570 -4.734 -1.147
4.231 0.728 2.787
Pb Ni Be
3 1 1
Cartesian
0.785 -2.367 -0.573
2.115 0.364 1.393
-1.207 -0.901 2.069
0.000 0.000 0.000
1.693 -2.904 2.889
```

Computed properties:
total magnetic moment	0.00	μB per cell
symmetry	Pm-3m

***

Relative energies, kJ/mol of atoms: model A 11.2; model B 0.0.

***

Model A:
VASP calculation (PBE) on a geometry-optimized Be2NiPd2 structure.

POSCAR file:
```
Be2NiPd2
1.0
6.692 0.000 0.000
0.000 6.692 0.000
0.000 0.000 2.691
Ni Pd Be
2 4 4
Cartesian
0.000 0.000 0.000
3.346 3.346 0.000
2.381 5.727 0.000
5.727 4.311 0.000
4.311 0.965 0.000
0.965 2.381 0.000
1.041 4.387 1.345
4.387 5.651 1.345
5.651 2.305 1.345
2.305 1.041 1.345
```

Computed properties:
total magnetic moment	0.00	μB per cell
symmetry	P4/mbm

***

Model B:
VASP calculation (PBE) on a geometry-optimized Be2NiPd2 structure.

POSCAR file:
```
Be2NiPd2
1.0
6.354 0.000 0.000
0.000 6.354 0.000
0.000 0.000 2.835
Ni Pd Be
2 4 4
Cartesian
0.000 0.000 0.000
3.177 3.177 0.000
1.045 4.222 1.417
4.222 5.309 1.417
5.309 2.132 1.417
2.132 1.045 1.417
2.329 5.506 0.000
5.506 4.025 0.000
4.025 0.848 0.000
0.848 2.329 0.000
```

Computed properties:
total magnetic moment	0.00	μB per cell
symmetry	P4/mbm

***

Relative energies, kJ/mol of atoms: model A 15.9; model B 0.0.

***

Model A:
VASP calculation (PBE) on a geometry-optimized BeNi3Pd structure.

POSCAR file:
```
BeNi3Pd
1.0
-0.756 -2.476 -3.707
-0.066 -3.753 2.520
-4.457 0.476 0.592
Ni Pd Be
3 1 1
Cartesian
-0.033 -1.877 1.260
-2.229 0.238 0.296
-0.378 -1.238 -1.854
0.000 0.000 0.000
-2.640 -2.877 -0.298
```

Computed properties:
total magnetic moment	2.42	μB per cell
symmetry	Pm-3m

***

Model B:
VASP calculation (PBE) on a geometry-optimized BeNi3Pd structure.

POSCAR file:
```
BeNi3Pd
1.0
-1.510 3.499 -0.815
-0.700 -1.153 -3.656
-3.524 -1.270 1.075
Ni Pd Be
3 1 1
Cartesian
-0.350 -0.577 -1.828
-1.762 -0.635 0.538
-0.755 1.750 -0.407
-2.867 0.538 -1.698
0.000 0.000 0.000
```

Computed properties:
total magnetic moment	0.01	μB per cell
symmetry	Pm-3m

***

Relative energies, kJ/mol of atoms: model A 121.1; model B 0.0.

***

Model A:
VASP calculation (PBE) on a geometry-optimized BeNiPdPt structure.

POSCAR file:
```
BeNiPdPt
1.0
-0.162 -1.902 1.996
2.645 -0.671 -0.424
1.837 4.462 4.400
Be Ni Pd Pt
1 1 1 1
Cartesian
1.045 2.537 2.502
0.133 0.322 0.318
2.697 2.248 4.271
1.888 0.283 2.333
```

Computed properties:
total magnetic moment	0.60	μB per cell
symmetry	P4mm

***

Model B:
VASP calculation (PBE) on a geometry-optimized BeNiPdPt structure.

POSCAR file:
```
BeNiPdPt
1.0
4.145 0.000 0.000
2.072 3.589 0.000
2.072 1.196 3.384
Ni Pd Pt Be
1 1 1 1
Cartesian
0.000 0.000 0.000
6.217 3.589 2.538
2.072 1.196 0.846
4.145 2.393 1.692
```

Computed properties:
total magnetic moment	0.75	μB per cell
symmetry	F-43m

***

Relative energies, kJ/mol of atoms: model A 0.0; model B 7.9.

***

Model A:
VASP calculation (PBE) on a geometry-optimized BeNiPt structure.

POSCAR file:
```
BeNiPt
1.0
-0.599 0.566 3.800
3.468 -1.229 -1.260
0.806 2.532 -0.250
Ni Pt Be
1 1 1
Cartesian
0.886 0.374 2.074
2.646 1.045 0.262
0.143 0.449 -0.044
```

Computed properties:
total magnetic moment	0.00	μB per cell
symmetry	P3m1

***

Model B:
VASP calculation (PBE) on a geometry-optimized BeNiPt structure.

POSCAR file:
```
BeNiPt
1.0
-1.310 3.915 1.355
-0.899 -3.968 1.525
3.749 0.257 2.879
Be Ni Pt
2 2 2
Cartesian
0.443 -1.066 1.464
1.097 1.270 4.296
1.220 2.086 2.117
-0.655 1.957 0.678
2.281 -0.236 2.888
-0.741 0.441 2.871
```

Computed properties:
total magnetic moment	0.00	μB per cell
symmetry	Cmcm

***

Relative energies, kJ/mol of atoms: model A 14.9; model B 0.0.

***

Model A:
VASP calculation (PBE) on a geometry-optimized BeNiPt4 structure.

POSCAR file:
```
BeNiPt4
1.0
-1.326 -2.414 -0.037
1.743 -0.929 -1.920
6.517 -3.699 7.709
Be Ni Pt
1 1 4
Cartesian
3.467 -3.520 2.876
0.000 0.000 0.000
5.657 -4.763 5.467
1.277 -2.278 0.286
4.560 -5.693 2.944
2.374 -1.348 2.808
```

Computed properties:
total magnetic moment	1.30	μB per cell
symmetry	P4/mmm

***

Model B:
VASP calculation (PBE) on a geometry-optimized BeNiPt4 structure.

POSCAR file:
```
BeNiPt4
1.0
-4.702 -0.633 2.063
-2.804 4.129 1.364
-4.211 1.280 -2.719
Be Ni Pt
1 1 4
Cartesian
-8.788 3.582 0.530
0.000 0.000 0.000
-6.746 1.474 1.297
-6.500 2.431 -1.095
-5.796 3.856 0.947
-4.394 1.791 0.265
```

Computed properties:
total magnetic moment	0.14	μB per cell
symmetry	F-43m

***

Relative energies, kJ/mol of atoms: model A 0.0; model B 67.1.

***

Model A:
VASP calculation (PBE) on a geometry-optimized Be2Ni2Pt structure.

POSCAR file:
```
Be2Ni2Pt
1.0
-1.907 1.907 3.769
1.907 -1.907 3.769
1.907 1.907 -3.769
Be Ni Pt
2 2 1
Cartesian
1.907 0.000 1.884
0.000 1.907 1.884
0.000 0.000 4.851
0.000 0.000 2.686
0.000 0.000 0.000
```

Computed properties:
total magnetic moment	0.00	μB per cell
symmetry	I4/mmm

***

Model B:
VASP calculation (PBE) on a geometry-optimized Be2Ni2Pt structure.

POSCAR file:
```
Be2Ni2Pt
1.0
-1.540 2.052 -0.800
-1.581 -0.356 2.129
3.495 4.591 5.043
Be Ni Pt
2 2 1
Cartesian
-0.685 1.822 1.477
1.060 4.465 4.895
1.929 2.848 3.589
-0.014 1.387 3.584
0.000 0.000 0.000
```

Computed properties:
total magnetic moment	0.00	μB per cell
symmetry	Cmmm

***

Relative energies, kJ/mol of atoms: model A 25.7; model B 0.0.